DFT (GGA-PBEsol) results for a relaxed structure of LiCu2.

Cell lengths 2.427, 4.159, 4.159 Å; angles 120.00, 90.00, 90.00 degrees
Atoms (fractional coordinates):
Li 0.000 0.000 0.000
Cu 0.500 0.333 0.667
Cu 0.500 0.667 0.333

Magnetization in μB/cell: 0.000
ρ in kg/m³: 6122
V in Å³/cell: 36.36
Space group: P6/mmm, No. 191
Energy of formation from the pure elements in eV per atom: 0.055
DOS(E_F) in states/eV/cell: 0.85